#1
# NiIrRh2 (PBE-GGA, optimized geometry)
data_NiIrRh2
_space_group_name_H-M_alt 'P 1'
_space_group_IT_number 1
_space_group_name_Hall 'P 1'
_cell_length_a 2.697
_cell_length_b 3.758
_cell_length_c 5.357
_cell_angle_alpha 90.00
_cell_angle_beta 90.00
_cell_angle_gamma 90.00
loop_
_atom_site_label
_atom_site_type_symbol
_atom_site_fract_x
_atom_site_fract_y
_atom_site_fract_z
_atom_site_occupancy
Ni1 Ni 0.000 0.000 0.000 1
Ir1 Ir 0.500 0.500 0.240 1
Rh1 Rh 0.000 0.000 0.493 1
Rh2 Rh 0.500 0.500 0.754 1
# Crystal system = orthorhombic
# Spin magnetization = 0.000 μB/atom
# V = 54.29 Å³ per cell

---

#2
# NiIrRh2 (PBE-GGA, optimized geometry)
data_NiIrRh2
_space_group_name_H-M_alt 'P 1'
_space_group_IT_number 1
_space_group_name_Hall 'P 1'
_cell_length_a 5.186
_cell_length_b 5.186
_cell_length_c 5.186
_cell_angle_alpha 149.43
_cell_angle_beta 128.88
_cell_angle_gamma 60.74
loop_
_atom_site_label
_atom_site_type_symbol
_atom_site_fract_x
_atom_site_fract_y
_atom_site_fract_z
_atom_site_occupancy
Ni1 Ni 0.000 0.000 0.000 1
Ir1 Ir 0.500 0.500 0.000 1
Rh1 Rh 0.237 0.737 0.500 1
Rh2 Rh 0.763 0.263 0.500 1
# Crystal system = orthorhombic
# Spin magnetization = 0.002 μB/atom
# V = 54.73 Å³ per cell

---

#3
# NiIrRh2 (PBE-GGA, optimized geometry)
data_NiIrRh2
_space_group_name_H-M_alt 'P 1'
_space_group_IT_number 1
_space_group_name_Hall 'P 1'
_cell_length_a 5.230
_cell_length_b 5.230
_cell_length_c 5.230
_cell_angle_alpha 149.77
_cell_angle_beta 129.52
_cell_angle_gamma 59.97
loop_
_atom_site_label
_atom_site_type_symbol
_atom_site_fract_x
_atom_site_fract_y
_atom_site_fract_z
_atom_site_occupancy
Ni1 Ni 0.000 0.000 0.000 1
Ir1 Ir 0.772 0.272 0.500 1
Rh1 Rh 0.233 0.733 0.500 1
Rh2 Rh 0.508 0.508 0.000 1
# Crystal system = orthorhombic
# Spin magnetization = 0.001 μB/atom
# V = 55.10 Å³ per cell

---

#4
# NiIrRh2 (PBE-GGA, optimized geometry)
data_NiIrRh2
_space_group_name_H-M_alt 'P 1'
_space_group_IT_number 1
_space_group_name_Hall 'P 1'
_cell_length_a 8.732
_cell_length_b 8.732
_cell_length_c 8.732
_cell_angle_alpha 17.86
_cell_angle_beta 17.86
_cell_angle_gamma 17.86
loop_
_atom_site_label
_atom_site_type_symbol
_atom_site_fract_x
_atom_site_fract_y
_atom_site_fract_z
_atom_site_occupancy
Ni1 Ni 0.000 0.000 0.000 1
Ir1 Ir 0.500 0.500 0.500 1
Rh1 Rh 0.252 0.252 0.252 1
Rh2 Rh 0.748 0.748 0.748 1
# Crystal system = trigonal
# Spin magnetization = 0.186 μB/atom
# V = 54.70 Å³ per cell

---

The data favor #1; the next most stable structure lies 35 meV/atom above it.

---

#1
# NiIrRh2 (PBE-GGA, optimized geometry)
data_NiIrRh2
_space_group_name_H-M_alt 'P 1'
_space_group_IT_number 1
_space_group_name_Hall 'P 1'
_cell_length_a 3.796
_cell_length_b 3.796
_cell_length_c 3.791
_cell_angle_alpha 90.00
_cell_angle_beta 90.00
_cell_angle_gamma 90.00
loop_
_atom_site_label
_atom_site_type_symbol
_atom_site_fract_x
_atom_site_fract_y
_atom_site_fract_z
_atom_site_occupancy
Ni1 Ni 0.000 0.000 0.000 1
Ir1 Ir 0.500 0.500 0.000 1
Rh1 Rh 0.000 0.500 0.500 1
Rh2 Rh 0.500 0.000 0.500 1
# Crystal system = tetragonal
# Spin magnetization = 0.461 μB/atom
# V = 54.64 Å³ per cell

---

#2
# NiIrRh2 (PBE-GGA, optimized geometry)
data_NiIrRh2
_space_group_name_H-M_alt 'P 1'
_space_group_IT_number 1
_space_group_name_Hall 'P 1'
_cell_length_a 4.642
_cell_length_b 4.642
_cell_length_c 4.642
_cell_angle_alpha 131.88
_cell_angle_beta 131.88
_cell_angle_gamma 70.41
loop_
_atom_site_label
_atom_site_type_symbol
_atom_site_fract_x
_atom_site_fract_y
_atom_site_fract_z
_atom_site_occupancy
Ni1 Ni 0.000 0.000 0.000 1
Ir1 Ir 0.750 0.250 0.500 1
Rh1 Rh 0.250 0.750 0.500 1
Rh2 Rh 0.500 0.500 0.000 1
# Crystal system = tetragonal
# Spin magnetization = 0.227 μB/atom
# V = 54.32 Å³ per cell

---

The data favor #2; the next most stable structure lies 34 meV/atom above it.